# Zn11Ir2

A relaxed structure of Zn11Ir2 (PBE-GGA, OQMD via LeMat-Bulk).

```
data_Zn11Ir2
_chemical_formula_sum 'Zn44 Ir8'
_cell_length_a 9.110
_cell_length_b 9.110
_cell_length_c 9.110
_cell_angle_alpha 90.00
_cell_angle_beta 90.00
_cell_angle_gamma 90.00
_space_group_name_H-M_alt 'I -4 3 m'
_space_group_IT_number 217
_space_group_name_Hall 'I -4 2 3'
loop_
_atom_site_label
_atom_site_fract_x
_atom_site_fract_y
_atom_site_fract_z
Zn1 0.000 0.000 0.357
Zn2 0.042 0.308 0.308
Zn3 0.106 0.106 0.106
Ir1 0.173 0.173 0.827
```

Summary:
* magnetic moment: 0.0 μB/cell
* V: 755.9 Å³ per cell
* E_tot: -2.626 eV per atom
* crystal system: cubic